Record 1
# PHOsN

PHOsN after structural relaxation (PBE, Alexandria via LeMat-Bulk).

Cell: 5.873 2.865 6.467 Å, 90.00 109.39 90.00°
Space group Cm (No. 8)
Unique sites:
P: 0.000 0.000 0.000
H: 0.343 0.500 0.605
Os: 0.393 0.000 0.267
N: 0.279 0.500 0.434

Calculated values
ΔE to the lowest computed polymorph   4.95 kcal/mol of atoms
Raw total energy   -27.2 eV/f.u.
M_tot   0.0 μB per cell



Record 2
# CaDy2ThAs4

CaDy2ThAs4 after structural relaxation (PBE, Alexandria via LeMat-Bulk).

Cell: 7.227 4.203 7.266 Å, 90.00 109.21 90.00°
Space group P2/m (No. 10)
Unique sites:
Ca: 0.000 0.000 0.000
Dy: 0.000 0.500 0.500
Dy: 0.500 0.000 0.500
Th: 0.500 0.500 0.000
As: 0.249 0.000 0.743
As: 0.256 0.500 0.258

Calculated values
Raw total energy   -48.6 eV/f.u.
Calculated formation energy   -1.427 eV per atom
M_tot   0.0 μB per cell



Record 3
# SmDyCF

SmDyCF after structural relaxation (PBE, Alexandria via LeMat-Bulk).

Cell: 5.115 4.199 7.292 Å, 90.00 90.00 90.00°
Space group Amm2 (No. 38)
Unique sites:
Sm: 0.000 0.000 0.000
Dy: 0.500 0.000 0.668
C: 0.500 0.000 0.001
F: 0.000 0.000 0.667

Calculated values
Raw total energy   -25.4 eV/f.u.
Energy relative to the elements, uncorrected   -1.248 eV/atom
M_tot   1.0 μB per cell



Record 4
# Re2PtAu

Re2PtAu after structural relaxation (PBE, Alexandria via LeMat-Bulk).

Cell: 5.491 8.311 2.737 Å, 90.00 90.00 90.00°
Space group Cmmm (No. 65)
Unique sites:
Re: 0.250 0.250 0.000
Pt: 0.000 0.000 0.500
Au: 0.000 0.500 0.500

Calculated values
ΔE to the lowest computed polymorph   6.90 kcal/mol of atoms
Raw total energy   -32.7 eV/f.u.
Calculated formation energy   0.371 eV per atom
M_tot   0.0 μB per cell